Record 1
The following is a PBE calculation of a relaxed structure of Tb2ErCd3CuAu2, from OQMD via LeMat-Bulk.

Structure (extended XYZ):
```
9
Lattice="3.868 0.000 0.000 0.000 6.665 3.862 0.000 -6.665 3.862" Properties=species:S:1:pos:R:3 pbc="T T T"
Tb 0.000 -3.946 3.862
Tb 0.000 3.946 3.862
Er 0.000 0.000 4.724
Cd 1.934 -1.629 2.524
Cd 1.934 1.629 2.524
Cd 1.934 0.000 7.409
Cu 0.000 0.000 1.584
Au 1.934 -2.201 5.431
Au 1.934 2.201 5.431
```

The size of the total moment is 0.0 μB/cell. The space-group type is Amm2 (38). The calculated total energy is -31.9 eV/f.u.

Record 2
The following is a PBE calculation of a relaxed structure of InNi15, from OQMD via LeMat-Bulk.

Structure (extended XYZ):
```
32
Lattice="3.514 0.000 0.000 0.000 3.514 0.000 0.000 0.000 40.464" Properties=species:S:1:pos:R:3 pbc="T T T"
In 0.878 0.000 6.681
In 2.635 0.000 33.783
Ni 0.878 0.000 10.714
Ni 0.878 0.000 14.195
Ni 0.878 0.000 17.646
Ni 0.878 0.000 21.087
Ni 0.878 0.000 24.552
Ni 0.878 0.000 27.990
Ni 0.878 0.000 31.478
Ni 0.878 1.757 8.986
Ni 0.878 1.757 12.473
Ni 0.878 1.757 15.912
Ni 0.878 1.757 19.376
Ni 0.878 1.757 22.820
Ni 0.878 1.757 26.266
Ni 0.878 1.757 29.757
Ni 0.878 1.757 33.201
Ni 2.635 0.000 8.986
Ni 2.635 0.000 12.473
Ni 2.635 0.000 15.912
Ni 2.635 0.000 19.377
Ni 2.635 0.000 22.817
Ni 2.635 0.000 26.269
Ni 2.635 0.000 29.749
Ni 2.635 1.757 7.263
Ni 2.635 1.757 10.707
Ni 2.635 1.757 14.198
Ni 2.635 1.757 17.644
Ni 2.635 1.757 21.087
Ni 2.635 1.757 24.551
Ni 2.635 1.757 27.990
Ni 2.635 1.757 31.477
```

As for the offset from the most stable computed form: 0.000 eV per formula unit. The size of the total moment is 0.8 μB/cell. The space-group type is Pmma (51). The calculated total energy is -85.6 eV/f.u.

Record 3
The following is a PBE calculation of a relaxed structure of NdBPdPt3, from OQMD via LeMat-Bulk.

Structure (extended XYZ):
```
12
Lattice="5.496 0.000 0.000 -2.748 4.759 0.000 0.000 0.000 7.687" Properties=species:S:1:pos:R:3 pbc="T T T"
Nd 0.000 0.000 0.000
Nd 0.000 0.000 3.844
B 0.000 3.173 0.000
B 2.748 1.586 0.000
Pd 0.000 3.173 3.844
Pd 2.748 1.586 3.844
Pt -1.374 2.380 1.529
Pt -1.374 2.380 6.158
Pt 2.748 0.000 1.529
Pt 2.748 0.000 6.158
Pt 1.374 2.380 1.529
Pt 1.374 2.380 6.158
```

The size of the total moment is 0.0 μB/cell. The space-group type is P6/mmm (191). The calculated total energy is -39.5 eV/f.u.

Record 4
The following is a PBE calculation of a relaxed structure of Li2AgHg, from OQMD via LeMat-Bulk.

Structure (extended XYZ):
```
8
Lattice="-3.144 3.418 3.078 3.144 -3.418 3.078 3.144 3.418 -3.078" Properties=species:S:1:pos:R:3 pbc="T T T"
Li 1.572 3.421 -1.539
Li 1.572 0.004 1.539
Li -1.572 3.414 1.539
Li 1.572 3.414 1.539
Ag 3.144 1.709 -0.003
Ag 0.000 1.709 3.081
Hg 3.144 -1.709 3.076
Hg 0.000 5.127 0.002
```

The space-group type is Imma (74). The calculated total energy is -8.1 eV/f.u.

Record 5
The following is a PBE calculation of a relaxed structure of ScFeCuGe, from OQMD via LeMat-Bulk.

Structure (extended XYZ):
```
4
Lattice="0.000 3.051 3.051 3.051 0.000 3.051 3.051 3.051 0.000" Properties=species:S:1:pos:R:3 pbc="T T T"
Sc 0.000 0.000 0.000
Fe 3.051 3.051 3.051
Cu 4.576 4.576 4.576
Ge 1.525 1.525 1.525
```

As for the offset from the most stable computed form: 0.000 eV per formula unit. The size of the total moment is 2.0 μB/cell. The space-group type is F-43m (216). The calculated total energy is -23.8 eV/f.u.

Record 6
The following is a PBE calculation of a relaxed structure of PmBiN2O, from OQMD via LeMat-Bulk.

Structure (extended XYZ):
```
40
Lattice="9.380 0.000 0.000 0.000 7.098 0.000 -7.658 0.000 9.228" Properties=species:S:1:pos:R:3 pbc="T T T"
Pm -2.279 0.042 3.892
Pm -6.108 3.506 8.506
Pm -2.220 3.592 4.051
Pm -6.049 7.054 8.665
Pm 7.771 0.043 0.563
Pm 3.942 3.505 5.177
Pm 7.830 3.591 0.722
Pm 4.001 7.055 5.336
Bi -3.139 5.284 7.827
Bi 0.691 5.362 3.213
Bi -2.455 1.766 7.034
Bi 1.374 1.783 2.420
Bi 0.348 5.315 6.808
Bi 4.177 5.332 2.194
Bi 1.032 1.735 6.015
Bi 4.861 1.814 1.401
N -3.327 3.621 6.508
N 0.502 7.026 1.894
N -3.769 0.119 7.260
N 0.060 3.430 2.646
N 3.173 5.136 0.296
N -0.656 5.511 4.910
N -1.044 1.741 5.392
N 2.785 1.808 0.778
N -1.063 5.289 8.450
N 2.766 5.357 3.836
N 2.378 1.587 4.318
N -1.451 1.962 8.932
N 1.662 3.668 6.582
N 5.492 6.979 1.968
N 1.220 0.072 7.334
N 5.049 3.477 2.720
O -3.802 1.621 4.779
O 0.028 1.928 0.165
O -5.553 5.310 6.942
O -1.724 5.336 2.328
O 3.446 1.762 6.899
O 7.275 1.787 2.285
O 1.695 5.170 9.063
O 5.524 5.477 4.449
```

The size of the total moment is 0.0 μB/cell. The space-group type is P2_1/c (14). The calculated total energy is -33.7 eV/f.u.

Record 7
The following is a PBE calculation of a relaxed structure of CoCuSbAu, from OQMD via LeMat-Bulk.

Structure (extended XYZ):
```
4
Lattice="0.000 3.152 3.152 3.152 0.000 3.152 3.152 3.152 0.000" Properties=species:S:1:pos:R:3 pbc="T T T"
Co 0.000 0.000 0.000
Cu 3.152 3.152 3.152
Sb 4.729 4.729 4.729
Au 1.576 1.576 1.576
```

As for the offset from the most stable computed form: 0.000 eV per formula unit. The size of the total moment is 0.8 μB/cell. The space-group type is F-43m (216). The calculated total energy is -17.5 eV/f.u.

Record 8
The following is a PBE calculation of a relaxed structure of KSn5Pt3, from OQMD via LeMat-Bulk.

Structure (extended XYZ):
```
9
Lattice="5.581 0.000 0.000 -2.791 4.833 0.000 0.000 0.000 8.672" Properties=species:S:1:pos:R:3 pbc="T T T"
K 0.000 0.000 0.000
Sn 0.000 0.000 4.336
Sn 0.000 3.222 1.905
Sn 0.000 3.222 6.767
Sn 2.791 1.611 1.905
Sn 2.791 1.611 6.767
Pt -1.395 2.417 4.336
Pt 2.791 0.000 4.336
Pt 1.395 2.417 4.336
```

The size of the total moment is 0.0 μB/cell. The space-group type is P6/mmm (191). The calculated total energy is -41.9 eV/f.u.

Question: Number 4 is which compound?
Answer: Li2AgHg

Question: What is the formula in the seventh record?
Answer: CoCuSbAu